1.
BeCo2Re: optimized geometry, PBE-GGA.

Cell lengths 3.5102, 3.5102, 7.1178 Å; angles 90.00, 90.00, 90.00 degrees
Space group I4/mmm (No. 139)
Asymmetric unit:
Be 0.0000 0.0000 0.0000 x2
Co 0.0000 0.5000 0.2500 x4
Re 0.0000 0.0000 0.5000 x2

Output
Density = 11.86 g/cm³
Uncorrected energy = -7.642 eV per atom
V = 88 Å³ per cell
E_form = -18 kJ/mol of formula units
N(E_F) = 0.7814 states/eV per atom

=====

2.
BeCo2Re: optimized geometry, PBE-GGA.

Cell lengths 8.8271, 2.7137, 4.0233 Å; angles 90.00, 117.03, 90.00 degrees
Space group C2/m (No. 12)
Asymmetric unit:
Be 0.0000 0.0000 0.0000 x2
Co 0.2262 0.5000 0.2262 x4
Re 0.0000 0.5000 0.5000 x2

Output
Density = 12.11 g/cm³
Uncorrected energy = -7.644 eV per atom
V = 86 Å³ per cell
E_form = -18 kJ/mol of formula units
N(E_F) = 0.8787 states/eV per atom

=====

3.
BeCo2Re: optimized geometry, PBE-GGA.

Cell lengths 5.6065, 5.6065, 5.6065 Å; angles 90.00, 90.00, 90.00 degrees
Space group F-43m (No. 216)
Asymmetric unit:
Be 0.0000 0.0000 0.0000 x4
Co 0.0000 0.0000 0.5000 x4
Co 0.2500 0.2500 0.7500 x4
Re 0.2500 0.2500 0.2500 x4

Output
Density = 11.80 g/cm³
Uncorrected energy = -7.501 eV per atom
V = 176 Å³ per cell
E_form = 37 kJ/mol of formula units
N(E_F) = 1.4692 states/eV per atom

=====

4.
BeCo2Re: optimized geometry, PBE-GGA.

Cell lengths 2.6643, 4.0671, 4.1853 Å; angles 90.00, 90.00, 90.00 degrees
Space group Pmmm (No. 47)
Asymmetric unit:
Be 0.0000 0.0000 0.0000 x1
Co 0.0000 0.5000 0.5000 x1
Co 0.5000 0.0000 0.5000 x1
Re 0.5000 0.5000 0.0000 x1

Output
Density = 11.46 g/cm³
Uncorrected energy = -7.449 eV per atom
V = 45 Å³ per cell
E_form = 57 kJ/mol of formula units
N(E_F) = 1.2495 states/eV per atom

=====

5.
BeCo2Re: optimized geometry, PBE-GGA.

Cell lengths 2.7173, 4.0593, 7.9425 Å; angles 90.00, 90.00, 90.00 degrees
Space group Imm2 (No. 44)
Asymmetric unit:
Be 0.0000 0.0000 0.0000 x2
Co 0.0000 0.0000 0.5175 x2
Co 0.0000 0.5000 0.2941 x2
Re 0.0000 0.5000 0.7466 x2

Output
Density = 11.87 g/cm³
Uncorrected energy = -7.598 eV per atom
V = 88 Å³ per cell
E_form = -1 kJ/mol of formula units
N(E_F) = 0.7396 states/eV per atom

=====

6.
BeCoRe: optimized geometry, PBE-GGA.

Cell lengths 4.2449, 4.5608, 4.5974 Å; angles 64.32, 64.12, 62.66 degrees
Space group P1 (No. 1)
Asymmetric unit:
Be 0.0000 0.0000 0.0000 x1
Be 0.3818 0.2619 0.9593 x1
Co 0.1686 0.4663 0.4225 x1
Co 0.8192 0.1458 0.4679 x1
Re 0.4452 0.8023 0.5065 x1
Re 0.7430 0.6351 0.9578 x1

Output
Density = 12.40 g/cm³
Uncorrected energy = -7.776 eV per atom
V = 68 Å³ per cell
E_form = -4 kJ/mol of formula units
N(E_F) = 0.5104 states/eV per atom

=====

- What is the formula in the second record?
  BeCo2Re

=====

- Which value of uncorrected energy does entry 1 give?
  -7.642 eV per atom

=====

- Among the records above, which one has the highest density?
  BeCoRe

=====

- Number 4 is which compound?
  BeCo2Re